! Na4Sr15Ca PBE-GGA relaxed; values from VASP
! SG: P4/mmm, No. 123
! ΔH_f (0 K), eV/atom: 0.032
&SYSTEM
  ibrav = 0, nat = 20, ntyp = 3
/
ATOMIC_SPECIES
Na 22.99 Na.upf
Sr 87.62 Sr.upf
Ca 40.08 Ca.upf
CELL_PARAMETERS angstrom
5.7891 0.0000 0.0000
0.0000 5.7891 0.0000
0.0000 0.0000 30.4212
ATOMIC_POSITIONS crystal
Na 0.0000 0.0000 0.0999
Na 0.0000 0.0000 0.2996
Na 0.0000 0.0000 0.7004
Na 0.0000 0.0000 0.9001
Sr 0.0000 0.5000 0.0000
Sr 0.0000 0.5000 0.1996
Sr 0.0000 0.5000 0.4006
Sr 0.0000 0.5000 0.5994
Sr 0.0000 0.5000 0.8004
Sr 0.5000 0.0000 0.0000
Sr 0.5000 0.0000 0.1996
Sr 0.5000 0.0000 0.4006
Sr 0.5000 0.0000 0.5994
Sr 0.5000 0.0000 0.8004
Sr 0.5000 0.5000 0.0999
Sr 0.5000 0.5000 0.2995
Sr 0.5000 0.5000 0.5000
Sr 0.5000 0.5000 0.7005
Sr 0.5000 0.5000 0.9001
Ca 0.0000 0.0000 0.5000